Entry 1:
Compound: ZnCu2Ge
Source: the Alexandria database
Functional: PBE-GGA
Structure: optimized geometry

Cell lengths 4.1429, 4.1429, 4.7535 Å; angles 64.17, 64.17, 60.00 degrees
Last column: nearest neighbours and their distance in Å.
Sites, in units of the cell vectors:
Zn: 0.6841 0.6841 0.9477  6 Cu 2.48-2.59, 1 Ge 2.57
Cu: 0.0698 0.0698 0.7907  1 Cu 2.47, 3 Zn 2.48, 3 Ge 2.55
Cu: 0.2704 0.2704 0.1888  1 Cu 2.47, 1 Ge 2.53, 3 Zn 2.59
Ge: 0.4758 0.4758 0.5727  4 Cu 2.53-2.55, 1 Zn 2.57

Calculated values
For the energy of formation, the calculation gives 0.0986 eV per atom. As for the space group: No. 160. The value obtained for the total energy is -13.7 eV/cell. The calculated density comes out at 7.2 Mg/m³.

Entry 2:
Compound: CePd7Au4
Source: the Alexandria database
Functional: PBE-GGA
Structure: optimized geometry

Cell lengths 5.7939, 7.6758, 7.6669 Å; angles 68.15, 77.15, 40.69 degrees
Last column: nearest neighbours and their distance in Å.
Sites, in units of the cell vectors:
Ce: 0.0000 0.0000 0.0000  10 Pd 2.80-2.92, 2 Au 3.03
Pd: 0.7500 0.5025 0.0013  7 Pd 2.83-2.95, 3 Au 2.84-2.95, 2 Ce 2.88-2.92
Pd: 0.2500 0.4975 0.9987  7 Pd 2.83-2.95, 3 Au 2.84-2.95, 2 Ce 2.88-2.92
Pd: 0.9936 0.3299 0.6748  1 Ce 2.80, 5 Pd 2.84-3.00, 6 Au 2.87-2.94
Pd: 0.0064 0.6701 0.3252  1 Ce 2.80, 5 Pd 2.84-3.00, 6 Au 2.87-2.94
Pd: 0.2422 0.8342 0.6712  5 Pd 2.83-2.95, 1 Ce 2.84, 6 Au 2.89-2.93
Pd: 0.5000 0.0000 0.0000  4 Au 2.85-2.88, 6 Pd 2.88-2.92, 2 Ce 2.90
Pd: 0.7578 0.1658 0.3288  5 Pd 2.83-2.95, 1 Ce 2.84, 6 Au 2.89-2.93
Au: 0.5216 0.6559 0.3402  3 Au 2.84-2.90, 8 Pd 2.87-2.93, 1 Ce 3.03
Au: 0.4784 0.3441 0.6598  3 Au 2.84-2.90, 8 Pd 2.87-2.93, 1 Ce 3.03
Au: 0.7393 0.8365 0.6681  9 Pd 2.84-2.95, 3 Au 2.85-2.91
Au: 0.2607 0.1635 0.3319  9 Pd 2.84-2.95, 3 Au 2.85-2.91

Calculated values
For the energy of formation, the calculation gives -0.3444 eV per atom. As for the space group: No. 2. The value obtained for the total energy is -59.5 eV/cell. The calculated density comes out at 13.5 Mg/m³.